# 1
Compound: Mg5Pb
Source: Alexandria
Functional: meta-GGA SCAN
Structure: single point on PBEsol structure

abc: 3.281 3.281 13.205
angles: 90.00 90.00 90.00
Positions (direct):
Mg (0.000, 0.000, 0.000)
Mg (0.000, 0.000, 0.327)
Mg (0.000, 0.000, 0.673)
Mg (0.500, 0.500, 0.163)
Mg (0.500, 0.500, 0.837)
Pb (0.500, 0.500, 0.500)

Calculated values
* ΔE to the lowest computed polymorph: 0.442 eV/f.u.

# 2
Compound: MgPb2
Source: Alexandria
Functional: meta-GGA SCAN
Structure: single point on PBEsol structure

abc: 6.440 6.440 7.962
angles: 102.62 102.62 30.67
Positions (direct):
Mg (0.000, 0.000, 0.000)
Mg (0.686, 0.686, 0.343)
Pb (0.287, 0.287, 0.078)
Pb (0.339, 0.339, 0.662)
Pb (0.618, 0.618, 0.748)
Pb (0.975, 0.975, 0.387)

Calculated values
* ΔE to the lowest computed polymorph: 0.241 eV/f.u.

# 3
Compound: MgPb
Source: Alexandria
Functional: meta-GGA SCAN
Structure: single point on PBEsol structure

abc: 6.113 6.113 5.312
angles: 90.00 90.00 148.47
Positions (direct):
Mg (0.151, 0.849, 0.750)
Mg (0.849, 0.151, 0.250)
Pb (0.410, 0.590, 0.750)
Pb (0.590, 0.410, 0.250)

# 4
Compound: Mg24Pb5
Source: Alexandria
Functional: meta-GGA SCAN
Structure: single point on PBEsol structure

abc: 9.651 9.651 9.651
angles: 109.47 109.47 109.47
Positions (direct):
Mg (0.000, 0.319, 0.588)
Mg (0.000, 0.588, 0.319)
Mg (0.000, 0.622, 0.811)
Mg (0.000, 0.811, 0.622)
Mg (0.188, 0.378, 0.378)
Mg (0.189, 0.189, 0.812)
Mg (0.189, 0.812, 0.189)
Mg (0.269, 0.681, 0.681)
Mg (0.319, 0.000, 0.588)
Mg (0.319, 0.588, 0.000)
Mg (0.378, 0.188, 0.378)
Mg (0.378, 0.378, 0.188)
Mg (0.412, 0.412, 0.731)
Mg (0.412, 0.731, 0.412)
Mg (0.588, 0.000, 0.319)
Mg (0.588, 0.319, 0.000)
Mg (0.622, 0.000, 0.811)
Mg (0.622, 0.811, 0.000)
Mg (0.681, 0.269, 0.681)
Mg (0.681, 0.681, 0.269)
Mg (0.731, 0.412, 0.412)
Mg (0.811, 0.000, 0.622)
Mg (0.811, 0.622, 0.000)
Mg (0.812, 0.189, 0.189)
Pb (0.000, 0.000, 0.000)
Pb (0.000, 0.000, 0.367)
Pb (0.000, 0.367, 0.000)
Pb (0.367, 0.000, 0.000)
Pb (0.633, 0.633, 0.633)

# 5
Compound: Mg3Pb
Source: Alexandria
Functional: meta-GGA SCAN
Structure: single point on PBEsol structure

abc: 3.355 3.355 10.051
angles: 90.00 90.00 120.00
Positions (direct):
Mg (0.000, 0.000, 0.000)
Mg (0.667, 0.333, 0.244)
Mg (0.667, 0.333, 0.756)
Pb (0.000, 0.000, 0.500)

# 6
Compound: MgPb2
Source: Alexandria
Functional: meta-GGA SCAN
Structure: single point on PBEsol structure

abc: 3.471 3.471 15.717
angles: 90.00 90.00 120.00
Positions (direct):
Mg (0.000, 0.000, 0.160)
Mg (0.000, 0.000, 0.840)
Pb (0.000, 0.000, 0.500)
Pb (0.667, 0.333, 0.000)
Pb (0.667, 0.333, 0.318)
Pb (0.667, 0.333, 0.682)

Calculated values
* ΔE to the lowest computed polymorph: 0.200 eV/f.u.

# 7
Compound: Mg3Pb
Source: Alexandria
Functional: meta-GGA SCAN
Structure: single point on PBEsol structure

abc: 3.335 4.411 6.433
angles: 90.00 90.00 90.00
Positions (direct):
Mg (0.000, 0.000, 0.000)
Mg (0.500, 0.500, 0.242)
Mg (0.500, 0.500, 0.758)
Pb (0.000, 0.000, 0.500)

# 8
Compound: MgPb2
Source: Alexandria
Functional: meta-GGA SCAN
Structure: single point on PBEsol structure

abc: 4.516 4.927 7.655
angles: 90.00 106.86 90.00
Positions (direct):
Mg (0.084, 0.250, 0.168)
Mg (0.916, 0.750, 0.832)
Pb (0.251, 0.750, 0.504)
Pb (0.421, 0.250, 0.845)
Pb (0.579, 0.750, 0.155)
Pb (0.749, 0.250, 0.496)

Calculated values
* ΔE to the lowest computed polymorph: 0.184 eV/f.u.

# 9
Compound: Mg2Pb
Source: Alexandria
Functional: meta-GGA SCAN
Structure: single point on PBEsol structure

abc: 4.831 4.831 4.831
angles: 60.00 60.00 60.00
Positions (direct):
Mg (0.250, 0.250, 0.250)
Mg (0.750, 0.750, 0.750)
Pb (0.000, 0.000, 0.000)

# 10
Compound: Mg3Pb
Source: Alexandria
Functional: meta-GGA SCAN
Structure: single point on PBEsol structure

abc: 9.545 9.545 9.545
angles: 152.34 152.34 39.52
Positions (direct):
Mg (0.000, 0.500, 0.500)
Mg (0.124, 0.124, 0.000)
Mg (0.250, 0.750, 0.500)
Mg (0.500, 0.000, 0.500)
Mg (0.750, 0.250, 0.500)
Mg (0.876, 0.876, 0.000)
Pb (0.373, 0.373, 0.000)
Pb (0.627, 0.627, 0.000)

# 11
Compound: Mg4Pb
Source: Alexandria
Functional: meta-GGA SCAN
Structure: single point on PBEsol structure

abc: 5.571 5.571 5.571
angles: 99.35 99.35 132.46
Positions (direct):
Mg (0.099, 0.304, 0.403)
Mg (0.304, 0.901, 0.204)
Mg (0.696, 0.099, 0.796)
Mg (0.901, 0.696, 0.597)
Pb (0.500, 0.500, 0.000)

Calculated values
* ΔE to the lowest computed polymorph: 0.000 eV/f.u.

# 12
Compound: Mg3Pb4
Source: Alexandria
Functional: meta-GGA SCAN
Structure: single point on PBEsol structure

abc: 15.260 15.260 15.260
angles: 166.83 166.83 18.66
Positions (direct):
Mg (0.000, 0.000, 0.000)
Mg (0.282, 0.282, 0.000)
Mg (0.718, 0.718, 0.000)
Pb (0.151, 0.151, 0.000)
Pb (0.433, 0.433, 0.000)
Pb (0.567, 0.567, 0.000)
Pb (0.849, 0.849, 0.000)

Calculated values
* ΔE to the lowest computed polymorph: 0.000 eV/f.u.

# 13
Compound: Mg5Pb4
Source: Alexandria
Functional: meta-GGA SCAN
Structure: single point on PBEsol structure

abc: 9.112 9.112 6.247
angles: 90.00 90.00 120.00
Positions (direct):
Mg (0.000, 0.302, 0.250)
Mg (0.000, 0.698, 0.750)
Mg (0.302, 0.000, 0.250)
Mg (0.302, 0.302, 0.750)
Mg (0.333, 0.667, 0.000)
Mg (0.333, 0.667, 0.500)
Mg (0.667, 0.333, 0.000)
Mg (0.667, 0.333, 0.500)
Mg (0.698, 0.000, 0.750)
Mg (0.698, 0.698, 0.250)
Pb (0.000, 0.000, 0.000)
Pb (0.000, 0.000, 0.500)
Pb (0.000, 0.371, 0.750)
Pb (0.000, 0.629, 0.250)
Pb (0.371, 0.000, 0.750)
Pb (0.371, 0.371, 0.250)
Pb (0.629, 0.000, 0.250)
Pb (0.629, 0.629, 0.750)

Calculated values
* ΔE to the lowest computed polymorph: 0.000 eV/f.u.

# 14
Compound: MgPb
Source: Alexandria
Functional: meta-GGA SCAN
Structure: single point on PBEsol structure

abc: 3.574 5.542 5.242
angles: 90.00 90.00 90.00
Positions (direct):
Mg (0.250, 0.250, 0.086)
Mg (0.750, 0.750, 0.914)
Pb (0.250, 0.750, 0.410)
Pb (0.750, 0.250, 0.590)

# 15
Compound: Mg3Pb
Source: Alexandria
Functional: meta-GGA SCAN
Structure: single point on PBEsol structure

abc: 3.623 3.623 7.266
angles: 90.00 90.00 90.00
Positions (direct):
Mg (0.000, 0.000, 0.000)
Mg (0.500, 0.500, 0.239)
Mg (0.500, 0.500, 0.761)
Pb (0.000, 0.000, 0.500)

# 16
Compound: MgPb2
Source: Alexandria
Functional: meta-GGA SCAN
Structure: single point on PBEsol structure

abc: 7.114 7.114 7.114
angles: 151.66 151.66 40.50
Positions (direct):
Mg (0.000, 0.000, 0.000)
Pb (0.345, 0.345, 0.000)
Pb (0.655, 0.655, 0.000)

Calculated values
* ΔE to the lowest computed polymorph: 0.057 eV/f.u.

# 17
Compound: MgPdPb3
Source: Alexandria
Functional: meta-GGA SCAN
Structure: single point on PBEsol structure

abc: 5.305 5.305 5.305
angles: 90.00 90.00 90.00
Positions (direct):
Mg (0.000, 0.000, 0.000)
Pd (0.500, 0.500, 0.500)
Pb (0.000, 0.000, 0.500)
Pb (0.000, 0.500, 0.000)
Pb (0.500, 0.000, 0.000)

# 18
Compound: Mg2TiPdPb
Source: Alexandria
Functional: meta-GGA SCAN
Structure: single point on PBEsol structure

abc: 5.323 5.323 4.494
angles: 90.00 90.00 90.00
Positions (direct):
Mg (0.000, 0.500, 0.000)
Mg (0.500, 0.000, 0.000)
Ti (0.000, 0.000, 0.000)
Pd (0.000, 0.000, 0.500)
Pb (0.500, 0.500, 0.500)

# 19
Compound: Mg2PtPb
Source: Alexandria
Functional: meta-GGA SCAN
Structure: single point on PBEsol structure

abc: 3.194 4.729 5.087
angles: 90.00 90.00 90.00
Positions (direct):
Mg (0.000, 0.000, 0.000)
Mg (0.000, 0.500, 0.354)
Pt (0.500, 0.000, 0.462)
Pb (0.500, 0.500, 0.832)

# 20
Compound: Mg2PtPb
Source: Alexandria
Functional: meta-GGA SCAN
Structure: single point on PBEsol structure

abc: 3.239 3.239 7.668
angles: 90.00 90.00 90.00
Positions (direct):
Mg (0.000, 0.000, 0.194)
Mg (0.000, 0.000, 0.806)
Pt (0.500, 0.500, 0.000)
Pb (0.500, 0.500, 0.500)

# 21
Compound: Mg2PtPb
Source: Alexandria
Functional: meta-GGA SCAN
Structure: single point on PBEsol structure

abc: 5.244 5.244 5.244
angles: 132.28 132.28 69.78
Positions (direct):
Mg (0.000, 0.000, 0.000)
Mg (0.750, 0.250, 0.500)
Pt (0.250, 0.750, 0.500)
Pb (0.500, 0.500, 0.000)

# 22
Compound: Mg2PtPb
Source: Alexandria
Functional: meta-GGA SCAN
Structure: single point on PBEsol structure

abc: 4.771 4.771 4.771
angles: 60.00 60.00 60.00
Positions (direct):
Mg (0.250, 0.250, 0.250)
Mg (0.750, 0.750, 0.750)
Pt (0.000, 0.000, 0.000)
Pb (0.500, 0.500, 0.500)

# 23
Compound: Mg2PtPb
Source: Alexandria
Functional: meta-GGA SCAN
Structure: single point on PBEsol structure

abc: 4.329 4.329 4.092
angles: 90.00 90.00 90.00
Positions (direct):
Mg (0.000, 0.500, 0.000)
Mg (0.500, 0.000, 0.000)
Pt (0.000, 0.000, 0.500)
Pb (0.500, 0.500, 0.500)

# 24
Compound: Mg3PtPb
Source: Alexandria
Functional: meta-GGA SCAN
Structure: single point on PBEsol structure

abc: 4.987 4.987 4.987
angles: 90.00 90.00 90.00
Positions (direct):
Mg (0.000, 0.000, 0.500)
Mg (0.000, 0.500, 0.000)
Mg (0.500, 0.000, 0.000)
Pt (0.000, 0.000, 0.000)
Pb (0.500, 0.500, 0.500)

# 25
Compound: MgPtPb3
Source: Alexandria
Functional: meta-GGA SCAN
Structure: single point on PBEsol structure

abc: 5.252 5.252 5.252
angles: 90.00 90.00 90.00
Positions (direct):
Mg (0.000, 0.000, 0.000)
Pt (0.500, 0.500, 0.500)
Pb (0.000, 0.000, 0.500)
Pb (0.000, 0.500, 0.000)
Pb (0.500, 0.000, 0.000)

# 26
Compound: Mg2Pt2Pb
Source: Alexandria
Functional: meta-GGA SCAN
Structure: single point on PBEsol structure

abc: 6.666 6.666 6.666
angles: 144.55 144.55 51.01
Positions (direct):
Mg (0.250, 0.750, 0.500)
Mg (0.750, 0.250, 0.500)
Pt (0.109, 0.109, 0.000)
Pt (0.891, 0.891, 0.000)
Pb (0.500, 0.500, 0.000)

# 27
Compound: Mg2PtPb
Source: Alexandria
Functional: meta-GGA SCAN
Structure: single point on PBEsol structure

abc: 5.170 5.170 4.805
angles: 107.50 107.50 41.66
Positions (direct):
Mg (0.000, 0.000, 0.000)
Mg (0.222, 0.222, 0.700)
Pt (0.722, 0.722, 0.117)
Pb (0.453, 0.453, 0.444)

no.,final energy (eV per atom)
1,-16.800
2,-52.223
3,-40.472
4,-17.182
5,-22.702
6,-52.236
7,-22.788
8,-52.242
9,-28.817
10,-22.827
11,-19.245
12,-45.518
13,-36.582
14,-40.476
15,-22.744
16,-52.284
17,-52.409
18,-26.280
19,-39.411
20,-39.567
21,-39.375
22,-39.424
23,-39.417
24,-32.569
25,-59.726
26,-45.718
27,-39.397